# PBE Pm4Pr3Nd5, optimized geometry
# - density of states at the Fermi level (states/eV/cell) = 20.24
# - total DFT energy (no corrections) (eV/atom) = -4.567
# - formation enthalpy at 0 K (eV/atom) = 0.20
# - symmetry = C2/m
data_Pm4Pr3Nd5
_space_group_name_H-M_alt 'P 1'
_space_group_IT_number 1
_space_group_name_Hall 'P 1'
_cell_length_a 8.781
_cell_length_b 8.781
_cell_length_c 9.495
_cell_angle_alpha 114.11
_cell_angle_beta 114.11
_cell_angle_gamma 40.80
loop_
_atom_site_label
_atom_site_fract_x
_atom_site_fract_y
_atom_site_fract_z
Pm1 0.083 0.083 0.442
Pm2 0.212 0.212 0.877
Pm3 0.788 0.788 0.123
Pm4 0.917 0.917 0.558
Pr1 0.208 0.208 0.226
Pr2 0.500 0.500 0.000
Pr3 0.792 0.792 0.774
Nd1 0.000 0.000 0.000
Nd2 0.327 0.327 0.612
Nd3 0.426 0.426 0.302
Nd4 0.574 0.574 0.698
Nd5 0.673 0.673 0.388

# PBE TaH4, optimized geometry
# - density of states at the Fermi level (states/eV/cell) = 2.05
# - total DFT energy (no corrections) (eV/atom) = -4.349
# - symmetry = Pm-3m
data_TaH4
_space_group_name_H-M_alt 'P 1'
_space_group_IT_number 1
_space_group_name_Hall 'P 1'
_cell_length_a 3.557
_cell_length_b 3.557
_cell_length_c 3.557
_cell_angle_alpha 90.00
_cell_angle_beta 90.00
_cell_angle_gamma 90.00
loop_
_atom_site_label
_atom_site_fract_x
_atom_site_fract_y
_atom_site_fract_z
Ta1 0.000 0.000 0.000
H1 0.000 0.000 0.500
H2 0.000 0.500 0.000
H3 0.500 0.000 0.000
H4 0.500 0.500 0.500

Question: Among the records above, which one has the highest total DFT energy (no corrections)?
Answer: TaH4

Question: Which value of density of states at the Fermi level does entry 1 give?
Answer: 20.24 states/eV/cell